# CaBPO2

A geometry-optimized CaBPO2 structure (PBE-GGA, Alexandria).

Summary:
M_tot: 0.000 Bohr magnetons per cell
uncorrected energy: -5.26 eV/atom
E_form (uncorrected): -456 meV per atom
SG: P4/mmm, No. 123
E above lowest polymorph: 0 meV per atom

Structure (CIF):
```
data_CaBPO2
_space_group_name_H-M_alt 'P 1'
_space_group_IT_number 1
_cell_length_a 4.0114
_cell_length_b 4.0114
_cell_length_c 3.7097
_cell_angle_alpha 90.00
_cell_angle_beta 90.00
_cell_angle_gamma 90.00
loop_
_space_group_symop_operation_xyz
'x,y,z'
loop_
_atom_site_label
_atom_site_fract_x
_atom_site_fract_y
_atom_site_fract_z
P1 0.0000 0.0000 0.5000
O1 0.5000 0.0000 0.0000
O2 0.0000 0.5000 0.0000
B1 0.0000 0.0000 0.0000
Ca1 0.5000 0.5000 0.5000
```